This record from Alexandria describes a relaxed structure of ScAl2Tc. The functional is PBEsol.

Its spin magnetization is 0.00 μB per cell. The energy of formation from the pure elements is 0.0 eV per formula unit. The energy relative to the lowest polymorph listed for this composition is 389.0 meV/atom.

Unit cell a=2.9771 b=2.9771 c=8.9727 alpha=80.45 beta=80.45 gamma=60.00
Positions (direct):
Sc: 0.5073 0.5073 0.4782
Tc: 0.2532 0.2532 0.2403
Al: 0.9933 0.9933 0.0200
Al: 0.7462 0.7462 0.7615

This record from Alexandria describes a relaxed structure of KCrMo2. The functional is PBEsol.

Its spin magnetization is 0.00 μB per cell. The energy of formation from the pure elements is 3.3 eV per formula unit. The energy relative to the lowest polymorph listed for this composition is 0.0 meV/atom.

Unit cell a=2.7051 b=2.7051 c=10.1394 alpha=90.00 beta=90.00 gamma=110.95
Positions (direct):
Cr: 0.5000 0.5000 0.5000
K: 0.5000 0.5000 0.0000
Mo: 0.0000 0.0000 0.3070
Mo: 0.0000 0.0000 0.6930

This record from Alexandria describes a relaxed structure of KTl2. The functional is PBEsol.

Its spin magnetization is 0.00 μB per cell. The energy of formation from the pure elements is -0.3 eV per formula unit. The energy relative to the lowest polymorph listed for this composition is 0.2 meV/atom.

Unit cell a=3.8121 b=3.8892 c=7.0029 alpha=106.12 beta=105.79 gamma=90.00
Positions (direct):
Tl: 0.6821 0.6821 0.3643
Tl: 0.3179 0.3179 0.6357
K: 0.0000 0.0000 0.0000

This record from Alexandria describes a relaxed structure of BaNiTe2Ru. The functional is PBEsol.

Its spin magnetization is 0.00 μB per cell. The calculation puts the energy relative to the elements, uncorrected at -0.1157 eV/atom.

Unit cell a=4.5741 b=5.2851 c=5.2851 alpha=90.00 beta=90.00 gamma=90.00
Positions (direct):
Ru: 0.0000 0.0000 0.0000
Te: 0.0000 0.0000 0.5000
Te: 0.0000 0.5000 0.0000
Ba: 0.5000 0.5000 0.5000
Ni: 0.5000 0.0000 0.0000

This record from Alexandria describes a relaxed structure of LaBeFe2. The functional is PBEsol.

Its spin magnetization is 1.56 μB per cell. The energy of formation from the pure elements is 0.0 eV per formula unit.

Unit cell a=3.9206 b=3.9206 c=5.3878 alpha=68.66 beta=68.66 gamma=60.00
Positions (direct):
Be: 0.5000 0.5000 0.5000
Fe: 0.1789 0.1789 0.4634
Fe: 0.8211 0.8211 0.5366
La: 0.0000 0.0000 0.0000

This record from Alexandria describes a relaxed structure of ScZnAg. The functional is PBEsol.

Its spin magnetization is 0.00 μB per cell. The energy of formation from the pure elements is -0.9 eV per formula unit.

Unit cell a=3.0230 b=4.4765 c=4.4765 alpha=120.00 beta=90.00 gamma=90.00
Positions (direct):
Sc: 0.0000 0.6667 0.3333
Zn: 0.5000 0.3333 0.6667
Ag: 0.5000 0.0000 0.0000

This record from Alexandria describes a relaxed structure of LaIrSN2. The functional is PBEsol.

Its spin magnetization is 1.64 μB per cell. The calculation puts the energy relative to the elements, uncorrected at 1.5595 eV/atom.

Unit cell a=3.9562 b=3.9562 c=5.9352 alpha=90.00 beta=90.00 gamma=90.00
Positions (direct):
N: 0.0000 0.5000 0.0000
N: 0.5000 0.0000 0.0000
S: 0.0000 0.0000 0.5000
Ir: 0.5000 0.5000 0.5000
La: 0.0000 0.0000 0.0000

This record from Alexandria describes a relaxed structure of Ta2TlPb. The functional is PBEsol.

Its spin magnetization is 0.00 μB per cell. The energy of formation from the pure elements is 2.8 eV per formula unit.

Unit cell a=4.2973 b=4.2973 c=5.3463 alpha=113.70 beta=113.70 gamma=90.00
Positions (direct):
Pb: 0.0000 0.0000 0.0000
Ta: 0.7500 0.2500 0.5000
Ta: 0.2500 0.7500 0.5000
Tl: 0.5000 0.5000 0.0000